# PBE VPbW, relaxed
data_VPbW
_chemical_formula_sum 'V2 Pb2 W2'
_cell_length_a 2.929
_cell_length_b 4.215
_cell_length_c 10.169
_cell_angle_alpha 90.00
_cell_angle_beta 94.71
_cell_angle_gamma 90.00
_symmetry_space_group_name_H-M 'P 1 m 1'
_symmetry_Int_Tables_number 6
_symmetry_space_group_name_Hall 'P -2y'
loop_
_atom_site_label
_atom_site_fract_x
_atom_site_fract_y
_atom_site_fract_z
_atom_site_occupancy
V1 0.000 0.000 0.000 1
V2 0.353 0.500 0.117 1
Pb1 0.638 0.500 0.584 1
Pb2 0.844 0.000 0.278 1
W1 0.198 0.000 0.767 1
W2 0.592 0.500 0.888 1
# **Offset from the most stable computed form**: 0.000 eV/atom

# PBE VPbW, relaxed
data_VPbW
_chemical_formula_sum 'V2 Pb2 W2'
_cell_length_a 3.128
_cell_length_b 4.304
_cell_length_c 9.510
_cell_angle_alpha 90.00
_cell_angle_beta 90.30
_cell_angle_gamma 90.00
_symmetry_space_group_name_H-M 'P 1 m 1'
_symmetry_Int_Tables_number 6
_symmetry_space_group_name_Hall 'P -2y'
loop_
_atom_site_label
_atom_site_fract_x
_atom_site_fract_y
_atom_site_fract_z
_atom_site_occupancy
V1 0.000 0.000 0.000 1
V2 0.500 0.500 0.005 1
Pb1 0.497 0.000 0.252 1
Pb2 0.553 0.500 0.510 1
W1 0.047 0.500 0.780 1
W2 0.547 0.000 0.776 1
# **Offset from the most stable computed form**: 0.068 eV/atom

# PBE VPb3W, relaxed
data_VPb3W
_chemical_formula_sum 'V1 Pb3 W1'
_cell_length_a 5.403
_cell_length_b 5.403
_cell_length_c 5.403
_cell_angle_alpha 90.00
_cell_angle_beta 90.00
_cell_angle_gamma 90.00
_symmetry_space_group_name_H-M 'P m -3 m'
_symmetry_Int_Tables_number 221
_symmetry_space_group_name_Hall '-P 4 2 3'
loop_
_atom_site_label
_atom_site_fract_x
_atom_site_fract_y
_atom_site_fract_z
_atom_site_occupancy
V1 0.000 0.000 0.000 1
Pb1 0.000 0.500 0.500 1
W1 0.500 0.500 0.500 1
# **Offset from the most stable computed form**: 0.000 eV/atom

# PBE V3PbW, relaxed
data_V3PbW
_chemical_formula_sum 'V3 Pb1 W1'
_cell_length_a 4.656
_cell_length_b 4.656
_cell_length_c 4.656
_cell_angle_alpha 90.00
_cell_angle_beta 90.00
_cell_angle_gamma 90.00
_symmetry_space_group_name_H-M 'P m -3 m'
_symmetry_Int_Tables_number 221
_symmetry_space_group_name_Hall '-P 4 2 3'
loop_
_atom_site_label
_atom_site_fract_x
_atom_site_fract_y
_atom_site_fract_z
_atom_site_occupancy
V1 0.000 0.000 0.500 1
Pb1 0.500 0.500 0.500 1
W1 0.000 0.000 0.000 1
# **Offset from the most stable computed form**: 0.000 eV/atom

# PBE V3PbW, relaxed
data_V3PbW
_chemical_formula_sum 'V3 Pb1 W1'
_cell_length_a 4.936
_cell_length_b 4.936
_cell_length_c 4.936
_cell_angle_alpha 90.00
_cell_angle_beta 90.00
_cell_angle_gamma 90.00
_symmetry_space_group_name_H-M 'P m -3 m'
_symmetry_Int_Tables_number 221
_symmetry_space_group_name_Hall '-P 4 2 3'
loop_
_atom_site_label
_atom_site_fract_x
_atom_site_fract_y
_atom_site_fract_z
_atom_site_occupancy
V1 0.000 0.000 0.500 1
Pb1 0.000 0.000 0.000 1
W1 0.500 0.500 0.500 1
# **Offset from the most stable computed form**: 1.176 eV/atom

# PBE VPbW, relaxed
data_VPbW
_chemical_formula_sum 'V2 Pb2 W2'
_cell_length_a 3.217
_cell_length_b 5.289
_cell_length_c 7.425
_cell_angle_alpha 102.89
_cell_angle_beta 90.21
_cell_angle_gamma 107.03
_symmetry_space_group_name_H-M 'P 1'
_symmetry_Int_Tables_number 1
_symmetry_space_group_name_Hall 'P 1'
loop_
_atom_site_label
_atom_site_fract_x
_atom_site_fract_y
_atom_site_fract_z
_atom_site_occupancy
V1 0.000 0.000 0.000 1
V2 0.273 0.561 0.860 1
Pb1 0.200 0.410 0.428 1
Pb2 0.519 0.041 0.679 1
W1 0.450 0.897 0.231 1
W2 0.722 0.454 0.091 1
# **Offset from the most stable computed form**: 0.086 eV/atom

A relaxed Y2VPb crystal, computed with PBE.

CIF file:
```
data_Y2VPb
_chemical_formula_sum 'Y8 V4 Pb4'
_cell_length_a 8.208
_cell_length_b 8.208
_cell_length_c 6.479
_cell_angle_alpha 90.00
_cell_angle_beta 90.00
_cell_angle_gamma 90.00
_symmetry_space_group_name_H-M 'I -4 2 d'
_symmetry_Int_Tables_number 122
_symmetry_space_group_name_Hall 'I -4 2bw'
loop_
_atom_site_label
_atom_site_fract_x
_atom_site_fract_y
_atom_site_fract_z
_atom_site_occupancy
Y1 0.225 0.250 0.125 1
V1 0.000 0.000 0.000 1
Pb1 0.000 0.000 0.500 1
```

# PBE Y3VPb, relaxed
data_Y3VPb
_chemical_formula_sum 'Y3 V1 Pb1'
_cell_length_a 5.268
_cell_length_b 5.268
_cell_length_c 5.268
_cell_angle_alpha 90.00
_cell_angle_beta 90.00
_cell_angle_gamma 90.00
_symmetry_space_group_name_H-M 'P m -3 m'
_symmetry_Int_Tables_number 221
_symmetry_space_group_name_Hall '-P 4 2 3'
loop_
_atom_site_label
_atom_site_fract_x
_atom_site_fract_y
_atom_site_fract_z
_atom_site_occupancy
Y1 0.000 0.000 0.500 1
V1 0.000 0.000 0.000 1
Pb1 0.500 0.500 0.500 1
# **Offset from the most stable computed form**: 0.000 eV/atom

no.,uncorrected energy (eV/atom),ΔH_f (0 K) (eV/atom)
1,-8.2263,0.367
2,-8.1584,0.435
3,-5.4111,1.228
4,-7.5890,1.214
5,-6.4132,2.390
6,-8.1403,0.453
7,-6.0307,0.408
8,-6.1174,0.326